Ag2BPt2 | GGA-PBE | optimized geometry

The structure in CIF format:
```
data_Ag2BPt2
_cell_length_a 5.637
_cell_length_b 5.637
_cell_length_c 4.951
_cell_angle_alpha 90.00
_cell_angle_beta 90.00
_cell_angle_gamma 90.00
_symmetry_space_group_name_H-M 'P 4/m b m'
_symmetry_Int_Tables_number 127
_symmetry_space_group_name_Hall '-P 4 2ab'
loop_
_atom_site_label
_atom_site_fract_x
_atom_site_fract_y
_atom_site_fract_z
Ag1 0.172 0.328 0.000
B1 0.000 0.000 0.500
Pt1 0.166 0.666 0.500
```

Calculated values
Total magnetization, μB/atom: 0.000
V, Å³/atom: 15.73
Energy of formation from the pure elements, kJ/mol of formula units: -66